Entry 1:
DFT (GGA-PBE) results for NiHgBi2C after structural relaxation.

Computed properties:
* space group: No. 123
* energy relative to the elements: 1.42 eV per atom
* crystal system: tetragonal

Cell: 5.066 4.917 5.066 Å, 90.00 90.00 90.00°
Sites, in units of the cell vectors:
Ni  0.000  0.000  0.000
C  0.500  0.500  0.500
Bi  0.000  0.000  0.500
Bi  0.500  0.000  0.000
Hg  0.000  0.500  0.000



Entry 2:
DFT (GGA-PBE) results for Sm3TeRhBr after structural relaxation.

Computed properties:
* space group: No. 11
* uncorrected formation energy: -0.987 eV/atom
* crystal system: monoclinic

Cell: 4.255 8.039 10.218 Å, 109.61 90.00 90.00°
Sites, in units of the cell vectors:
Sm  0.750  0.920  0.111
Sm  0.250  0.080  0.889
Sm  0.250  0.679  0.473
Sm  0.750  0.321  0.527
Sm  0.750  0.469  0.143
Sm  0.250  0.531  0.857
Te  0.250  0.261  0.282
Te  0.750  0.739  0.718
Rh  0.250  0.712  0.144
Rh  0.750  0.288  0.856
Br  0.250  0.129  0.615
Br  0.750  0.871  0.385